(1)
{"formula": "Pm8Ge3N2", "functional": "PBE", "state": "optimized geometry", "cell": [[6.871, 0.000, 0.000], [3.436, 5.951, 0.000], [3.436, 1.984, 8.737]], "species": ["Pm", "Pm", "Pm", "Pm", "Pm", "Pm", "Pm", "Pm", "Ge", "Ge", "Ge", "N", "N"], "frac_coords": [[0.688, 0.688, 0.937], [0.312, 0.312, 0.063], [0.225, 0.732, 0.311], [0.732, 0.225, 0.311], [0.732, 0.732, 0.311], [0.268, 0.775, 0.689], [0.775, 0.268, 0.689], [0.268, 0.268, 0.689], [0.000, 0.000, 0.000], [0.800, 0.800, 0.599], [0.200, 0.200, 0.401], [0.603, 0.603, 0.190], [0.397, 0.397, 0.810]], "dft_energy_ev_per_atom": -5.895, "crystal_system": "trigonal", "formation_energy_uncorrected_ev_per_atom": -0.63, "n_ef_per_ev_fu": 10.24, "magnetic_moment_mub_per_cell": 0.00}

(2)
{"formula": "BaTi2Cd2O7", "functional": "PBE", "state": "optimized geometry", "cell": [[-3.161, -1.156, 1.882], [2.641, -4.474, 1.688], [2.868, 6.968, 5.147]], "species": ["Ba", "Ti", "Ti", "Cd", "Cd", "O", "O", "O", "O", "O", "O", "O"], "frac_coords": [[0.000, 0.096, 0.000], [0.394, 0.463, 0.788], [0.606, 0.675, 0.212], [0.275, 0.828, 0.549], [0.725, 0.279, 0.451], [0.398, 0.798, 0.797], [0.720, 0.685, 0.439], [0.111, 0.604, 0.222], [0.602, 0.001, 0.203], [0.280, 0.245, 0.561], [0.889, 0.383, 0.778], [0.500, 0.443, 0.000]], "dft_energy_ev_per_atom": -6.885, "crystal_system": "orthorhombic", "formation_energy_uncorrected_ev_per_atom": -2.36, "n_ef_per_ev_fu": 0.00, "magnetic_moment_mub_per_cell": 0.00}

(3)
{"formula": "La2MgHPt", "functional": "PBE", "state": "optimized geometry", "cell": [[5.007, 0.000, 0.000], [0.000, 5.007, 0.000], [0.000, 0.000, 4.238]], "species": ["H", "Mg", "Pt", "La", "La"], "frac_coords": [[0.000, 0.000, 0.000], [0.000, 0.000, 0.500], [0.500, 0.500, 0.500], [0.000, 0.500, 0.000], [0.500, 0.000, 0.000]], "dft_energy_ev_per_atom": -4.681, "e_above_lowest_polymorph_mev_per_atom": 0, "crystal_system": "tetragonal", "n_ef_per_ev_fu": 3.90, "magnetic_moment_mub_per_cell": 0.00}

(4)
{"formula": "AsOs3", "functional": "PBE", "state": "optimized geometry", "cell": [[3.397, -4.133, 0.000], [3.397, 4.133, 0.000], [0.000, 0.000, 4.365]], "species": ["As", "As", "Os", "Os", "Os", "Os", "Os", "Os"], "frac_coords": [[0.627, 0.373, 0.750], [0.373, 0.627, 0.250], [0.225, 0.775, 0.750], [0.775, 0.225, 0.250], [0.720, 0.872, 0.750], [0.280, 0.128, 0.250], [0.872, 0.720, 0.250], [0.128, 0.280, 0.750]], "dft_energy_ev_per_atom": -9.074, "e_above_lowest_polymorph_mev_per_atom": 259, "crystal_system": "orthorhombic", "n_ef_per_ev_fu": 3.36, "magnetic_moment_mub_per_cell": 0.00}

(5)
{"formula": "Rb2Sn2Hg", "functional": "PBE", "state": "optimized geometry", "cell": [[4.315, 0.000, 0.000], [0.000, 4.315, 0.000], [2.158, 2.158, 11.352]], "species": ["Hg", "Rb", "Rb", "Sn", "Sn"], "frac_coords": [[0.000, 0.000, 0.000], [0.393, 0.393, 0.213], [0.607, 0.607, 0.787], [0.750, 0.250, 0.500], [0.250, 0.750, 0.500]], "dft_energy_ev_per_atom": -2.121, "e_above_lowest_polymorph_mev_per_atom": 59, "crystal_system": "tetragonal", "n_ef_per_ev_fu": 4.98, "magnetic_moment_mub_per_cell": 0.00}

(6)
{"formula": "La6Ho8Tm", "functional": "PBE", "state": "optimized geometry", "cell": [[9.099, 0.000, 0.000], [4.550, 7.880, 0.000], [4.550, 2.627, 7.069]], "species": ["La", "La", "La", "La", "La", "La", "Ho", "Ho", "Ho", "Ho", "Ho", "Ho", "Ho", "Ho", "Tm"], "frac_coords": [[0.465, 0.908, 0.860], [0.092, 0.233, 0.140], [0.233, 0.535, 0.140], [0.767, 0.465, 0.860], [0.908, 0.767, 0.860], [0.535, 0.092, 0.140], [0.707, 0.114, 0.416], [0.886, 0.237, 0.584], [0.237, 0.293, 0.584], [0.577, 0.577, 0.269], [0.423, 0.423, 0.731], [0.763, 0.707, 0.416], [0.114, 0.763, 0.416], [0.293, 0.886, 0.584], [0.000, 0.000, 0.000]], "dft_energy_ev_per_atom": -4.597, "crystal_system": "trigonal", "n_ef_per_ev_fu": 23.41, "magnetic_moment_mub_per_cell": 0.00}

(7)
{"formula": "Ho2ErTmS4", "functional": "PBE", "state": "optimized geometry", "cell": [[3.834, 0.000, 0.000], [0.000, 6.704, 0.133], [0.000, -2.325, 6.321]], "species": ["Ho", "Ho", "Er", "Tm", "S", "S", "S", "S"], "frac_coords": [[0.500, 0.000, 0.500], [0.000, 0.500, 0.500], [0.000, 0.000, 0.000], [0.500, 0.500, 0.000], [0.500, 0.250, 0.247], [0.500, 0.750, 0.753], [0.000, 0.252, 0.754], [0.000, 0.748, 0.246]], "dft_energy_ev_per_atom": -6.293, "crystal_system": "monoclinic", "formation_energy_uncorrected_ev_per_atom": -1.96, "n_ef_per_ev_fu": 4.71, "magnetic_moment_mub_per_cell": 0.00}

(8)
{"formula": "LaPm2HoBi4", "functional": "PBE", "state": "optimized geometry", "cell": [[4.589, 0.000, 0.000], [0.000, 7.941, -0.159], [0.000, 2.792, 7.424]], "species": ["La", "Pm", "Pm", "Ho", "Bi", "Bi", "Bi", "Bi"], "frac_coords": [[0.500, 0.500, 0.000], [0.000, 0.000, 0.000], [0.500, 0.000, 0.500], [0.000, 0.500, 0.500], [0.000, 0.751, 0.743], [0.000, 0.249, 0.257], [0.500, 0.747, 0.257], [0.500, 0.253, 0.743]], "dft_energy_ev_per_atom": -5.251, "crystal_system": "monoclinic", "n_ef_per_ev_fu": 1.08, "magnetic_moment_mub_per_cell": 0.00}

(9)
{"formula": "InHg6Cl2", "functional": "PBE", "state": "optimized geometry", "cell": [[-2.599, -0.104, 3.081], [2.957, -8.513, -4.430], [7.763, -4.822, 3.068]], "species": ["In", "Hg", "Hg", "Hg", "Hg", "Hg", "Hg", "Cl", "Cl"], "frac_coords": [[0.000, 0.000, 0.000], [0.422, 0.823, 0.632], [0.578, 0.177, 0.368], [0.371, 0.334, 0.000], [0.422, 0.454, 0.368], [0.578, 0.546, 0.632], [0.629, 0.666, 0.000], [0.500, 0.880, 0.239], [0.500, 0.120, 0.761]], "dft_energy_ev_per_atom": -1.176, "crystal_system": "monoclinic", "formation_energy_uncorrected_ev_per_atom": -0.26, "n_ef_per_ev_fu": 2.28, "magnetic_moment_mub_per_cell": 0.00}

(10)
{"formula": "AcHo3Hg2", "functional": "PBE", "state": "optimized geometry", "cell": [[-2.139, -2.069, 4.493], [6.323, -6.483, -3.206], [2.335, 7.384, 4.512]], "species": ["Ac", "Ac", "Ho", "Ho", "Ho", "Ho", "Ho", "Ho", "Hg", "Hg", "Hg", "Hg"], "frac_coords": [[0.869, 0.738, 0.927], [0.131, 0.262, 0.073], [0.303, 0.606, 0.600], [0.934, 0.868, 0.589], [0.615, 0.230, 0.712], [0.385, 0.770, 0.288], [0.066, 0.132, 0.411], [0.697, 0.394, 0.400], [0.497, 0.995, 0.833], [0.503, 0.005, 0.167], [0.778, 0.557, 0.173], [0.222, 0.443, 0.827]], "dft_energy_ev_per_atom": -3.327, "crystal_system": "monoclinic", "n_ef_per_ev_fu": 5.78, "magnetic_moment_mub_per_cell": 0.00}

(11)
{"formula": "LaScZnOs", "functional": "PBE", "state": "optimized geometry", "cell": [[4.909, 0.000, 0.000], [2.455, 4.252, 0.000], [2.455, 1.417, 4.008]], "species": ["Sc", "Zn", "Os", "La"], "frac_coords": [[0.000, 0.000, 0.000], [0.250, 0.250, 0.250], [0.750, 0.750, 0.750], [0.500, 0.500, 0.500]], "dft_energy_ev_per_atom": -6.098, "crystal_system": "cubic", "n_ef_per_ev_fu": 4.60, "magnetic_moment_mub_per_cell": 0.00}

(12)
{"formula": "TbNi4", "functional": "PBE", "state": "optimized geometry", "cell": [[5.361, -1.648, -0.761], [-4.250, 3.660, -0.761], [0.910, 1.648, 5.338]], "species": ["Tb", "Ni", "Ni", "Ni", "Ni"], "frac_coords": [[0.000, 0.000, 0.000], [0.000, 0.323, 0.323], [0.677, 0.000, 0.677], [0.000, 0.677, 0.677], [0.323, 0.000, 0.323]], "dft_energy_ev_per_atom": -4.881, "crystal_system": "tetragonal", "n_ef_per_ev_fu": 10.52, "magnetic_moment_mub_per_cell": 0.00}